No. 1
# ZnAuNF2

An optimized crystal structure of ZnAuNF2 (GGA-PBE, Alexandria).

The calculation puts the density of states at the Fermi level at 1.65 states/eV per cell. The calculation puts the energy above the lowest structure with this stoichiometry at 0.000 eV/atom. As for the crystal system: tetragonal. The formation energy (no corrections) is -126 meV/atom. The magnetic moment comes out at 1.48 μB/cell.

The space group is P4/mmm (No. 123) and the conventional cell measures 3.672, 3.672 and 6.252 Å, with angles of 90.00, 90.00 and 90.00 degrees. Symmetry generates all atoms from Zn at (0.000, 0.000, 0.000), Au at (0.000, 0.000, 0.500), N at (0.500, 0.500, 0.500) and F at (0.000, 0.500, 0.000).

No. 2
# ZrAuN2F

An optimized crystal structure of ZrAuN2F (GGA-PBE, Alexandria).

The calculation puts the density of states at the Fermi level at 3.51 states/eV per cell. The calculation puts the energy above the lowest structure with this stoichiometry at 0.000 eV/atom. As for the crystal system: tetragonal. The formation energy (no corrections) is -176 meV/atom. The magnetic moment comes out at 0.40 μB/cell.

The space group is P4/mmm (No. 123) and the conventional cell measures 4.294, 4.294 and 4.116 Å, with angles of 90.00, 90.00 and 90.00 degrees. Symmetry generates all atoms from Zr at (0.000, 0.000, 0.000), Au at (0.500, 0.500, 0.500), N at (0.000, 0.500, 0.000) and F at (0.000, 0.000, 0.500).

No. 3
# ZrAuN2F

An optimized crystal structure of ZrAuN2F (GGA-PBE, Alexandria).

The calculation puts the density of states at the Fermi level at 2.08 states/eV per cell. The calculation puts the energy above the lowest structure with this stoichiometry at 0.838 eV/atom. As for the crystal system: tetragonal. The formation energy (no corrections) is 662 meV/atom. The magnetic moment comes out at 0.00 μB/cell.

The space group is P4/mmm (No. 123) and the conventional cell measures 4.082, 4.082 and 4.101 Å, with angles of 90.00, 90.00 and 90.00 degrees. Symmetry generates all atoms from Zr at (0.000, 0.000, 0.000), Au at (0.500, 0.500, 0.500), N at (0.000, 0.500, 0.500) and F at (0.500, 0.500, 0.000).

No. 4
# Na2Au2F

An optimized crystal structure of Na2Au2F (GGA-PBE, Alexandria).

The calculation puts the density of states at the Fermi level at 3.43 states/eV per cell. The calculation puts the energy above the lowest structure with this stoichiometry at 0.000 eV/atom. As for the crystal system: tetragonal. The formation energy (no corrections) is -573 meV/atom. The magnetic moment comes out at 0.00 μB/cell.

The space group is I4/mmm (No. 139) and the conventional cell measures 5.795, 5.795 and 7.239 Å, with angles of 90.00, 90.00 and 90.00 degrees. Symmetry generates all atoms from Na at (0.000, 0.500, 0.250), Au at (0.000, 0.000, 0.179) and F at (0.000, 0.000, 0.500).

No. 5
# NaAuF3

An optimized crystal structure of NaAuF3 (GGA-PBE, Alexandria).

The calculation puts the density of states at the Fermi level at 10.46 states/eV per cell. The calculation puts the energy above the lowest structure with this stoichiometry at 0.708 eV/atom. As for the crystal system: cubic. The formation energy (no corrections) is -1003 meV/atom. The magnetic moment comes out at 1.00 μB/cell.

The space group is Pm-3m (No. 221) and the conventional cell measures 4.143, 4.143 and 4.143 Å, with angles of 90.00, 90.00 and 90.00 degrees. Symmetry generates all atoms from Na at (0.000, 0.000, 0.000), Au at (0.500, 0.500, 0.500) and F at (0.000, 0.000, 0.500).

No. 6
# NaAuF3

An optimized crystal structure of NaAuF3 (GGA-PBE, Alexandria).

The calculation puts the density of states at the Fermi level at 2.39 states/eV per cell. The calculation puts the energy above the lowest structure with this stoichiometry at 0.043 eV/atom. As for the crystal system: triclinic. The formation energy (no corrections) is -1668 meV/atom. The magnetic moment comes out at 0.21 μB/cell.

The space group is P-1 (No. 2) and the conventional cell measures 3.262, 6.075 and 8.464 Å, with angles of 95.24, 100.95 and 97.91 degrees. Symmetry generates all atoms from Na at (0.161, 0.004, 0.292), Au at (0.000, 0.500, 0.500), Au at (0.500, 0.500, 0.000), F at (0.212, 0.831, 0.538), F at (0.447, 0.262, 0.814) and F at (0.499, 0.255, 0.140).